Record 1
# SrLi2Tl

A PBEsol-optimized structure of SrLi2Tl (SCAN, Alexandria).

- theoretical density (g/cm3) = 5.03
- VASP energy (eV for the cell shown) = -201.59

```
data_SrLi2Tl
_symmetry_space_group_name_H-M 'C 1 2/m 1'
_symmetry_Int_Tables_number 12
_cell_length_a 8.362
_cell_length_b 4.801
_cell_length_c 5.746
_cell_angle_alpha 90.00
_cell_angle_beta 118.82
_cell_angle_gamma 90.00
loop_
_symmetry_equiv_pos_as_xyz
'x,y,z'
'-x,-y,-z'
'-x,y,-z'
'x,-y,z'
'x+1/2,y+1/2,z'
'-x+1/2,-y+1/2,-z'
'-x+1/2,y+1/2,-z'
'x+1/2,-y+1/2,z'
loop_
_atom_site_label
_atom_site_type_symbol
_atom_site_fract_x
_atom_site_fract_y
_atom_site_fract_z
Sr1 Sr 0.000 0.000 0.000
Li1 Li 0.212 0.000 0.636
Tl1 Tl 0.000 0.500 0.500
```

***

Record 2
# ZnTcNiO4

A PBEsol-optimized structure of ZnTcNiO4 (SCAN, Alexandria).

- theoretical density (g/cm3) = 6.51
- ΔE_f (raw) (eV per formula unit) = -10.37
- VASP energy (eV for the cell shown) = -400.16

```
data_ZnTcNiO4
_symmetry_space_group_name_H-M 'C 1 m 1'
_symmetry_Int_Tables_number 8
_cell_length_a 10.604
_cell_length_b 5.559
_cell_length_c 5.922
_cell_angle_alpha 90.00
_cell_angle_beta 123.31
_cell_angle_gamma 90.00
loop_
_symmetry_equiv_pos_as_xyz
'x,y,z'
'x,-y,z'
'x+1/2,y+1/2,z'
'x+1/2,-y+1/2,z'
loop_
_atom_site_label
_atom_site_type_symbol
_atom_site_fract_x
_atom_site_fract_y
_atom_site_fract_z
Zn1 Zn 0.000 0.000 0.000
Zn2 Zn 0.140 0.500 0.888
Tc1 Tc 0.265 0.216 0.511
Ni1 Ni 0.010 0.000 0.516
Ni2 Ni 0.412 0.000 0.154
O1 O 0.043 0.230 0.305
O2 O 0.259 0.000 0.770
O3 O 0.261 0.000 0.243
O4 O 0.266 0.500 0.737
O5 O 0.267 0.500 0.288
O6 O 0.488 0.258 0.730
```

***

Record 3
# Ca2HgSb

A PBEsol-optimized structure of Ca2HgSb (SCAN, Alexandria).

- theoretical density (g/cm3) = 6.26
- ΔE_f (raw) (eV per formula unit) = -3.57
- VASP energy (eV for the cell shown) = -128.32

```
data_Ca2HgSb
_symmetry_space_group_name_H-M 'P 4/m m m'
_symmetry_Int_Tables_number 123
_symmetry_space_group_name_Hall '-P 4 2'
_cell_length_a 5.078
_cell_length_b 5.078
_cell_length_c 4.144
_cell_angle_alpha 90.00
_cell_angle_beta 90.00
_cell_angle_gamma 90.00
loop_
_atom_site_label
_atom_site_type_symbol
_atom_site_fract_x
_atom_site_fract_y
_atom_site_fract_z
Ca1 Ca 0.000 0.500 0.000
Hg1 Hg 0.000 0.000 0.500
Sb1 Sb 0.500 0.500 0.500
```

***

Record 4
# Li3Si2Ni2O8

A PBEsol-optimized structure of Li3Si2Ni2O8 (SCAN, Alexandria).

- theoretical density (g/cm3) = 3.25
- ΔE_f (raw) (eV per formula unit) = -33.20
- VASP energy (eV for the cell shown) = -285.19

```
data_Li3Si2Ni2O8
_symmetry_space_group_name_H-M 'P 1 c 1'
_symmetry_Int_Tables_number 7
_cell_length_a 6.396
_cell_length_b 4.991
_cell_length_c 10.329
_cell_angle_alpha 90.00
_cell_angle_beta 90.22
_cell_angle_gamma 90.00
loop_
_symmetry_equiv_pos_as_xyz
'x,y,z'
'x,-y,z+1/2'
loop_
_atom_site_label
_atom_site_type_symbol
_atom_site_fract_x
_atom_site_fract_y
_atom_site_fract_z
Li1 Li 0.000 0.040 0.000
Li2 Li 0.258 0.068 0.241
Li3 Li 0.750 0.433 0.916
Si1 Si 0.009 0.440 0.670
Si2 Si 0.505 0.074 0.490
Ni1 Ni 0.260 0.434 0.916
Ni2 Ni 0.743 0.074 0.240
O1 O 0.013 0.447 0.020
O2 O 0.220 0.458 0.246
O3 O 0.287 0.047 0.925
O4 O 0.504 0.397 0.468
O5 O 0.509 0.002 0.645
O6 O 0.717 0.044 0.919
O7 O 0.807 0.436 0.246
O8 O 0.994 0.109 0.673
```

***

Record 5
# BaGaPb3

A PBEsol-optimized structure of BaGaPb3 (SCAN, Alexandria).

- theoretical density (g/cm3) = 8.22
- VASP energy (eV for the cell shown) = -284.20

```
data_BaGaPb3
_symmetry_space_group_name_H-M 'P m -3 m'
_symmetry_Int_Tables_number 221
_symmetry_space_group_name_Hall '-P 4 2 3'
_cell_length_a 5.511
_cell_length_b 5.511
_cell_length_c 5.511
_cell_angle_alpha 90.00
_cell_angle_beta 90.00
_cell_angle_gamma 90.00
loop_
_atom_site_label
_atom_site_type_symbol
_atom_site_fract_x
_atom_site_fract_y
_atom_site_fract_z
Ba1 Ba 0.000 0.000 0.000
Ga1 Ga 0.500 0.500 0.500
Pb1 Pb 0.000 0.500 0.500
```

***

Record 6
# Tl2HgBr

A PBEsol-optimized structure of Tl2HgBr (SCAN, Alexandria).

- theoretical density (g/cm3) = 9.34
- ΔE_f (raw) (eV per formula unit) = -1.50
- VASP energy (eV for the cell shown) = -233.84

```
data_Tl2HgBr
_symmetry_space_group_name_H-M 'P 4/m m m'
_symmetry_Int_Tables_number 123
_symmetry_space_group_name_Hall '-P 4 2'
_cell_length_a 4.442
_cell_length_b 4.442
_cell_length_c 6.210
_cell_angle_alpha 90.00
_cell_angle_beta 90.00
_cell_angle_gamma 90.00
loop_
_atom_site_label
_atom_site_type_symbol
_atom_site_fract_x
_atom_site_fract_y
_atom_site_fract_z
Tl1 Tl 0.000 0.000 0.000
Tl2 Tl 0.500 0.500 0.500
Hg1 Hg 0.000 0.000 0.500
Br1 Br 0.500 0.500 0.000
```

***

Record 7
# TaReSb3

A PBEsol-optimized structure of TaReSb3 (SCAN, Alexandria).

- theoretical density (g/cm3) = 8.49
- ΔE_f (raw) (eV per formula unit) = 8.02
- VASP energy (eV for the cell shown) = -241.44

```
data_TaReSb3
_symmetry_space_group_name_H-M 'P m -3 m'
_symmetry_Int_Tables_number 221
_symmetry_space_group_name_Hall '-P 4 2 3'
_cell_length_a 5.232
_cell_length_b 5.232
_cell_length_c 5.232
_cell_angle_alpha 90.00
_cell_angle_beta 90.00
_cell_angle_gamma 90.00
loop_
_atom_site_label
_atom_site_type_symbol
_atom_site_fract_x
_atom_site_fract_y
_atom_site_fract_z
Ta1 Ta 0.000 0.000 0.000
Re1 Re 0.500 0.500 0.500
Sb1 Sb 0.000 0.000 0.500
```

***

Record 8
# Ho2CdIn

A PBEsol-optimized structure of Ho2CdIn (SCAN, Alexandria).

- theoretical density (g/cm3) = 9.38
- VASP energy (eV for the cell shown) = -655.64

```
data_Ho2CdIn
_symmetry_space_group_name_H-M 'F m -3 m'
_symmetry_Int_Tables_number 225
_symmetry_space_group_name_Hall '-F 4 2 3'
_cell_length_a 7.333
_cell_length_b 7.333
_cell_length_c 7.333
_cell_angle_alpha 90.00
_cell_angle_beta 90.00
_cell_angle_gamma 90.00
loop_
_atom_site_label
_atom_site_type_symbol
_atom_site_fract_x
_atom_site_fract_y
_atom_site_fract_z
Ho1 Ho 0.250 0.250 0.250
Cd1 Cd 0.000 0.000 0.000
In1 In 0.000 0.000 0.500
```

***

Record 9
# CuMo2Pt

A PBEsol-optimized structure of CuMo2Pt (SCAN, Alexandria).

- theoretical density (g/cm3) = 13.24
- VASP energy (eV for the cell shown) = -155.59

```
data_CuMo2Pt
_symmetry_space_group_name_H-M 'P m m m'
_symmetry_Int_Tables_number 47
_cell_length_a 2.656
_cell_length_b 4.049
_cell_length_c 5.255
_cell_angle_alpha 90.00
_cell_angle_beta 90.00
_cell_angle_gamma 90.00
loop_
_symmetry_equiv_pos_as_xyz
'x,y,z'
'-x,-y,-z'
'-x,-y,z'
'x,y,-z'
'x,-y,-z'
'-x,y,z'
'-x,y,-z'
'x,-y,z'
loop_
_atom_site_label
_atom_site_type_symbol
_atom_site_fract_x
_atom_site_fract_y
_atom_site_fract_z
Cu1 Cu 0.000 0.000 0.000
Mo1 Mo 0.500 0.500 0.236
Pt1 Pt 0.000 0.000 0.500
```

***

Record 10
# HfMoPt2I

A PBEsol-optimized structure of HfMoPt2I (SCAN, Alexandria).

- theoretical density (g/cm3) = 10.89
- ΔE_f (raw) (eV per formula unit) = 6.12
- VASP energy (eV for the cell shown) = -268.56

```
data_HfMoPt2I
_symmetry_space_group_name_H-M 'P 4/m m m'
_symmetry_Int_Tables_number 123
_symmetry_space_group_name_Hall '-P 4 2'
_cell_length_a 4.893
_cell_length_b 4.893
_cell_length_c 5.041
_cell_angle_alpha 90.00
_cell_angle_beta 90.00
_cell_angle_gamma 90.00
loop_
_atom_site_label
_atom_site_type_symbol
_atom_site_fract_x
_atom_site_fract_y
_atom_site_fract_z
Hf1 Hf 0.000 0.000 0.000
Mo1 Mo 0.000 0.000 0.500
Pt1 Pt 0.000 0.500 0.000
I1 I 0.500 0.500 0.500
```

***

Record 11
# Be2NbRe

A PBEsol-optimized structure of Be2NbRe (SCAN, Alexandria).

- theoretical density (g/cm3) = 10.23
- VASP energy (eV for the cell shown) = -451.60

```
data_Be2NbRe
_symmetry_space_group_name_H-M 'F m -3 m'
_symmetry_Int_Tables_number 225
_symmetry_space_group_name_Hall '-F 4 2 3'
_cell_length_a 5.777
_cell_length_b 5.777
_cell_length_c 5.777
_cell_angle_alpha 90.00
_cell_angle_beta 90.00
_cell_angle_gamma 90.00
loop_
_atom_site_label
_atom_site_type_symbol
_atom_site_fract_x
_atom_site_fract_y
_atom_site_fract_z
Be1 Be 0.250 0.250 0.250
Nb1 Nb 0.000 0.000 0.000
Re1 Re 0.000 0.000 0.500
```

***

Record 12
# Nd2Ir7

A PBEsol-optimized structure of Nd2Ir7 (SCAN, Alexandria).

- theoretical density (g/cm3) = 17.09
- VASP energy (eV for the cell shown) = -3538.94

```
data_Nd2Ir7
_symmetry_space_group_name_H-M 'R -3 m'
_symmetry_Int_Tables_number 166
_symmetry_space_group_name_Hall '-R 3 2"'
_cell_length_a 5.3035
_cell_length_b 5.3035
_cell_length_c 39.0953
_cell_angle_alpha 90.00
_cell_angle_beta 90.00
_cell_angle_gamma 120.00
loop_
_atom_site_label
_atom_site_type_symbol
_atom_site_fract_x
_atom_site_fract_y
_atom_site_fract_z
Nd1 Nd 0.0000 0.0000 0.0504
Nd2 Nd 0.0000 0.0000 0.1478
Ir1 Ir 0.0000 0.0000 0.2779
Ir2 Ir 0.0000 0.0000 0.3886
Ir3 Ir 0.0000 0.0000 0.5000
Ir4 Ir 0.0000 0.5000 0.0000
Ir5 Ir 0.0010 0.5005 0.1093
```